Here is an optimized crystal structure of Dy4Sn3 from Alexandria via LeMat-Bulk. Energies are from PBE.

POSCAR file:
```
Dy4Sn3
1.0
-4.6437 4.6437 4.6437
4.6437 -4.6437 4.6437
4.6437 4.6437 -4.6437
Dy Sn
8 6
Direct
0.0000 0.1414 0.5000
0.0000 0.6414 0.5000
0.1414 0.5000 0.0000
0.3586 0.3586 0.3586
0.5000 0.0000 0.1414
0.5000 0.0000 0.6414
0.6414 0.5000 0.0000
0.8586 0.8586 0.8586
0.1250 0.8750 0.2500
0.2500 0.1250 0.8750
0.3750 0.6250 0.7500
0.6250 0.7500 0.3750
0.7500 0.3750 0.6250
0.8750 0.2500 0.1250
```

- total magnetic moment (μB per cell) = 0.0
- space group = I-43d
- ΔE_f (kJ/mol of atoms) = -70


Here is an optimized crystal structure of KNa7Ca2 from Alexandria via LeMat-Bulk. Energies are from PBE.

POSCAR file:
```
KNa7Ca2
1.0
3.4290 -15.9085 0.0000
3.4290 15.9085 0.0000
0.0000 0.0000 3.7870
K Na Ca
1 7 2
Direct
0.0000 0.0000 0.0000
0.1534 0.3621 0.5000
0.1862 0.8138 0.0000
0.3621 0.1534 0.5000
0.5000 0.5000 0.5000
0.6379 0.8466 0.5000
0.8138 0.1862 0.0000
0.8466 0.6379 0.5000
0.2860 0.7140 0.5000
0.7140 0.2860 0.5000
```

- total magnetic moment (μB per cell) = 0.0
- space group = Cmmm
- ΔE_f (kJ/mol of atoms) = 8


Here is an optimized crystal structure of YHgOF2 from Alexandria via LeMat-Bulk. Energies are from PBE.

POSCAR file:
```
YHgOF2
1.0
4.4066 0.0000 0.0000
0.0000 4.4066 0.0000
0.0000 0.0000 4.5424
Y Hg O F
1 1 1 2
Direct
0.0000 0.0000 0.0000
0.5000 0.5000 0.5000
0.0000 0.0000 0.5000
0.0000 0.5000 0.0000
0.5000 0.0000 0.0000
```

- polymorph energy (0 for the lowest one) (eV per atom) = 0.000
- total magnetic moment (μB per cell) = 0.0
- space group = P4/mmm
- formation energy (no corrections) (meV per atom) = -2547


Here is an optimized crystal structure of RbLa2AsO5 from Alexandria via LeMat-Bulk. Energies are from PBE.

POSCAR file:
```
RbLa2AsO5
1.0
-3.5187 3.5187 6.0982
3.5187 -3.5187 6.0982
3.5187 3.5187 -6.0982
Rb La As O
2 4 2 10
Direct
0.2500 0.2500 0.0000
0.7500 0.7500 0.0000
0.1819 0.6819 0.8638
0.3181 0.1819 0.5000
0.6819 0.8181 0.5000
0.8181 0.3181 0.1362
0.2500 0.7500 0.5000
0.7500 0.2500 0.5000
0.0000 0.0000 0.0000
0.0109 0.2378 0.5000
0.2378 0.7378 0.2270
0.2622 0.4891 0.5000
0.4891 0.9891 0.2270
0.5000 0.5000 0.0000
0.5109 0.0109 0.7730
0.7378 0.5109 0.5000
0.7622 0.2622 0.7730
0.9891 0.7622 0.5000
```

- total magnetic moment (μB per cell) = 0.0
- space group = I4/mcm
- formation energy (no corrections) (meV per atom) = -2321


Here is an optimized crystal structure of BaInBr2 from Alexandria via LeMat-Bulk. Energies are from PBE.

POSCAR file:
```
BaInBr2
1.0
2.4339 1.4052 9.8498
-2.4339 1.4052 9.8498
0.0000 -2.8104 9.8498
Ba In Br
1 1 2
Direct
0.0000 0.0000 0.0000
0.5000 0.5000 0.5000
0.1047 0.1047 0.1047
0.8953 0.8953 0.8953
```

- polymorph energy (0 for the lowest one) (eV per atom) = 0.306
- total magnetic moment (μB per cell) = 0.0
- space group = R-3m
- formation energy (no corrections) (meV per atom) = -944


Here is an optimized crystal structure of Tl3TcCl7 from Alexandria via LeMat-Bulk. Energies are from PBE.

POSCAR file:
```
Tl3TcCl7
1.0
5.3001 -4.8584 0.0000
5.3001 4.8584 0.0000
-3.7770 0.0000 7.0475
Tl Tc Cl
3 1 7
Direct
0.0000 0.0000 0.0000
0.2788 0.7326 0.5101
0.7326 0.2788 0.5101
0.4941 0.4941 0.9917
0.1783 0.5252 0.7719
0.3437 0.3437 0.1362
0.4595 0.8123 0.2023
0.5252 0.1783 0.7719
0.6480 0.6480 0.8481
0.8123 0.4595 0.2023
0.9602 0.9602 0.6223
```

- total magnetic moment (μB per cell) = 3.0
- space group = Cm
- formation energy (no corrections) (meV per atom) = -891


Here is an optimized crystal structure of PtAu2 from Alexandria via LeMat-Bulk. Energies are from PBE.

POSCAR file:
```
PtAu2
1.0
4.7766 -1.4370 0.0000
4.7766 1.4370 0.0000
-3.5245 0.0000 7.5314
Pt Au
2 4
Direct
0.1694 0.1694 0.0785
0.8306 0.8306 0.9215
0.1664 0.1664 0.5883
0.4961 0.4961 0.7556
0.5039 0.5039 0.2444
0.8336 0.8336 0.4117
```

- polymorph energy (0 for the lowest one) (eV per atom) = 0.009
- total magnetic moment (μB per cell) = 0.0
- space group = C2/m
- ΔE_f (kJ/mol of atoms) = 3


Here is an optimized crystal structure of LiPrDyCu from Alexandria via LeMat-Bulk. Energies are from PBE.

POSCAR file:
```
LiPrDyCu
1.0
0.0000 3.6311 3.6311
3.6311 0.0000 3.6311
3.6311 3.6311 0.0000
Li Pr Dy Cu
1 1 1 1
Direct
0.0000 0.0000 0.0000
0.7500 0.7500 0.7500
0.2500 0.2500 0.2500
0.5000 0.5000 0.5000
```

- total magnetic moment (μB per cell) = 0.0
- space group = F-43m
- ΔE_f (kJ/mol of atoms) = 1


Here is an optimized crystal structure of BOs2Se from Alexandria via LeMat-Bulk. Energies are from PBE.

POSCAR file:
```
BOs2Se
1.0
-2.5670 2.5670 5.0173
2.5670 -2.5670 5.0173
2.5670 2.5670 -5.0173
B Os Se
2 4 2
Direct
0.0000 0.0000 0.0000
0.7500 0.2500 0.5000
0.0674 0.6250 0.9424
0.3750 0.3174 0.4424
0.6826 0.1250 0.0576
0.8750 0.9326 0.5576
0.2500 0.7500 0.5000
0.5000 0.5000 0.0000
```

- polymorph energy (0 for the lowest one) (eV per atom) = 0.000
- total magnetic moment (μB per cell) = 0.0
- space group = I-42d
- formation energy (no corrections) (meV per atom) = 614


Here is an optimized crystal structure of Li2GeTe from Alexandria via LeMat-Bulk. Energies are from PBE.

POSCAR file:
```
Li2GeTe
1.0
4.3929 0.0000 0.0000
0.0000 4.3929 0.0000
0.0000 0.0000 4.1200
Li Ge Te
2 1 1
Direct
0.0000 0.5000 0.0000
0.5000 0.0000 0.0000
0.0000 0.0000 0.5000
0.5000 0.5000 0.5000
```

- polymorph energy (0 for the lowest one) (eV per atom) = 0.000
- total magnetic moment (μB per cell) = 0.0
- space group = P4/mmm
- formation energy (no corrections) (meV per atom) = -415


Here is an optimized crystal structure of CoP3Rh from Alexandria via LeMat-Bulk. Energies are from PBE.

POSCAR file:
```
CoP3Rh
1.0
4.2684 0.0000 0.0000
0.0000 4.2684 0.0000
0.0000 0.0000 4.2684
Co P Rh
1 3 1
Direct
0.0000 0.0000 0.0000
0.0000 0.0000 0.5000
0.0000 0.5000 0.0000
0.5000 0.0000 0.0000
0.5000 0.5000 0.5000
```

- polymorph energy (0 for the lowest one) (eV per atom) = 0.000
- total magnetic moment (μB per cell) = 0.0
- space group = Pm-3m
- ΔE_f (kJ/mol of atoms) = 52


Here is an optimized crystal structure of Y3P from Alexandria via LeMat-Bulk. Energies are from PBE.

POSCAR file:
```
Y3P
1.0
4.5860 0.0000 0.0000
0.0000 4.5860 0.0000
0.0000 0.0000 4.5860
Y P
3 1
Direct
0.0000 0.0000 0.5000
0.0000 0.5000 0.0000
0.5000 0.0000 0.0000
0.5000 0.5000 0.5000
```

- polymorph energy (0 for the lowest one) (eV per atom) = 0.380
- total magnetic moment (μB per cell) = 0.0
- space group = Pm-3m
- ΔE_f (kJ/mol of atoms) = -31